# 1
The following is a DFT calculation (PBE) of an optimized crystal structure of Ba4Sb2Br.

abc: 9.117 9.117 9.117
angles: 110.81 106.83 110.81
Each line ends with the local moment (μB).
Atoms (fractional coordinates):
Sb 0.875 0.121 0.496  -0.01
Ba 0.131 0.891 0.393  0.07
Ba 0.607 0.738 0.498  0.07
Sb 0.375 0.879 0.754  -0.01
Ba 0.990 0.609 0.752  0.07
Sb 0.504 0.379 0.625  -0.01
Ba 0.502 0.109 0.240  0.07
Ba 0.248 0.238 0.857  0.07
Br 0.000 0.000 0.000  0.01
Sb 0.246 0.621 0.125  -0.01
Ba 0.143 0.391 0.381  0.07
Ba 0.760 0.262 0.869  0.07
Ba 0.619 0.762 0.010  0.07
Br 0.750 0.500 0.250  0.01

Output
ΔE_f (raw): -1.21 eV/atom
final energy: -3.72 eV per atom
magnetic moment: 0.9 μB per formula unit
space group: I-42d
density of states at the Fermi level: 4.15 states/eV/f.u.



# 2
The following is a DFT calculation (PBE) of an optimized crystal structure of BaSb3Br.

abc: 5.653 5.653 5.653
angles: 90.00 90.00 90.00
Atoms (fractional coordinates):
Sb 0.000 0.500 0.000
Sb 0.000 0.000 0.500
Br 0.000 0.000 0.000
Sb 0.500 0.000 0.000
Ba 0.500 0.500 0.500

Output
ΔE_f (raw): 0.10 eV/atom
final energy: -3.09 eV per atom
magnetic moment: 0.0 μB per formula unit
space group: Pm-3m
density of states at the Fermi level: 4.63 states/eV/f.u.



# 3
The following is a DFT calculation (PBE) of an optimized crystal structure of BaScSb2Br.

abc: 6.037 4.859 6.037
angles: 90.00 90.00 90.00
Atoms (fractional coordinates):
Sc 0.000 0.500 0.000
Ba 0.500 0.500 0.500
Sb 0.000 0.000 0.500
Br 0.000 0.000 0.000
Sb 0.500 0.000 0.000

Output
ΔE_f (raw): -0.16 eV/atom
final energy: -3.79 eV per atom
magnetic moment: 0.0 μB per formula unit
space group: P4/mmm
density of states at the Fermi level: 5.44 states/eV/f.u.



# 4
The following is a DFT calculation (PBE) of an optimized crystal structure of Ba8SbSe3Br4.

abc: 9.559 9.550 9.560
angles: 120.03 120.00 90.00
Atoms (fractional coordinates):
Se 0.000 0.500 0.500
Br 0.000 0.000 0.000
Br 0.500 0.000 0.000
Se 0.500 0.500 0.000
Ba 0.753 0.268 0.506
Ba 0.261 0.267 0.014
Se 0.500 0.500 0.500
Ba 0.247 0.732 0.494
Ba 0.742 0.728 0.485
Ba 0.753 0.267 0.014
Br 0.000 0.000 0.500
Br 0.500 0.000 0.500
Sb 0.000 0.500 0.000
Ba 0.247 0.733 0.986
Ba 0.258 0.272 0.515
Ba 0.739 0.733 0.986

Output
ΔE_f (raw): -1.77 eV/atom
final energy: -4.06 eV per atom
magnetic moment: 0.0 μB per formula unit
space group: R-3m
density of states at the Fermi level: 5.31 states/eV/f.u.



# 5
The following is a DFT calculation (PBE) of an optimized crystal structure of Ba4SbSe2Br.

abc: 6.828 6.828 8.394
angles: 114.00 114.00 90.00
Atoms (fractional coordinates):
Ba 0.937 0.437 0.000
Ba 0.181 0.181 0.489
Se 0.187 0.687 0.500
Se 0.687 0.187 0.500
Ba 0.437 0.937 0.000
Sb 0.937 0.937 0.000
Ba 0.693 0.693 0.511
Br 0.438 0.438 0.000

Output
ΔE_f (raw): -1.76 eV/atom
final energy: -4.32 eV per atom
magnetic moment: 0.0 μB per formula unit
space group: I4/mmm



# 6
The following is a DFT calculation (PBE) of an optimized crystal structure of Ba6SbSe3Br2.

abc: 8.271 8.271 8.362
angles: 99.47 99.47 119.98
Atoms (fractional coordinates):
Ba 0.089 0.414 0.266
Ba 0.586 0.911 0.734
Ba 0.414 0.089 0.266
Br 0.666 0.334 0.000
Ba 0.237 0.237 0.734
Ba 0.763 0.763 0.266
Ba 0.911 0.586 0.734
Br 0.334 0.666 0.000
Sb 0.000 0.000 0.000
Se 0.168 0.832 0.500
Se 0.500 0.500 0.500
Se 0.832 0.168 0.500

Output
ΔE_f (raw): -1.82 eV/atom
final energy: -4.27 eV per atom
magnetic moment: 0.0 μB per formula unit
space group: C2/m
density of states at the Fermi level: 3.92 states/eV/f.u.



# 7
The following is a DFT calculation (PBE) of an optimized crystal structure of Ba6SbSe2Br3.

abc: 8.324 8.324 8.287
angles: 99.66 99.66 119.96
Atoms (fractional coordinates):
Se 0.667 0.333 0.000
Sb 0.000 0.000 0.000
Ba 0.923 0.582 0.768
Ba 0.582 0.923 0.768
Ba 0.263 0.263 0.768
Ba 0.737 0.737 0.232
Br 0.164 0.836 0.500
Br 0.836 0.164 0.500
Se 0.333 0.667 0.000
Ba 0.077 0.418 0.232
Br 0.500 0.500 0.500
Ba 0.418 0.077 0.232

Output
ΔE_f (raw): -1.74 eV/atom
final energy: -4.04 eV per atom
magnetic moment: 0.0 μB per formula unit
space group: C2/m
density of states at the Fermi level: 3.82 states/eV/f.u.



# 8
The following is a DFT calculation (PBE) of an optimized crystal structure of Ba6Sb2SeBr3.

abc: 4.930 9.694 10.891
angles: 102.01 103.08 90.00
Atoms (fractional coordinates):
Ba 0.997 0.766 0.994
Sb 0.165 0.326 0.329
Ba 0.330 0.427 0.660
Ba 0.339 0.914 0.678
Ba 0.003 0.234 0.006
Br 0.835 0.168 0.670
Ba 0.670 0.573 0.340
Br 0.165 0.832 0.330
Se 0.500 0.000 0.000
Ba 0.661 0.086 0.322
Sb 0.835 0.674 0.671
Br 0.500 0.500 0.000

Output
ΔE_f (raw): -1.62 eV/atom
final energy: -3.98 eV per atom
magnetic moment: 0.0 μB per formula unit
space group: C2/m
density of states at the Fermi level: 3.66 states/eV/f.u.



Q: Among the records above, which one has the highest final energy?
A: BaSb3Br